AcPd6Pb12: optimized geometry, GGA-PBE.

Unit cell a=13.4784 b=13.4784 c=9.6233 alpha=90.00 beta=90.00 gamma=120.00
Space group R-3m (No. 166, hexagonal axes)
Inequivalent atoms, fractional coordinates:
Ac (0.0000, 0.0000, 0.0000) (multiplicity 3)
Pd (0.0451, 0.5225, 0.2454) (multiplicity 18)
Pb (0.0000, 0.3788, 0.5000) (multiplicity 18)
Pb (0.0859, 0.1717, 0.3231) (multiplicity 18)

- DFT formation energy: -0.15 eV/atom
- Spin magnetization: 0.0 μB per formula unit
- Uncorrected energy: -247.77 eV for the cell shown